This record from Alexandria via LeMat-Bulk describes a relaxed HWO2F crystal. The functional is PBE+U.

Computed properties:
For the magnetization, the calculation gives 2.000 μB/f.u. The raw total energy comes out at -5.697 eV/atom.

a b c (Å): 3.881 3.881 4.187
angles (deg): 90.00 90.00 90.00
Space group P4/mmm (No. 123)
Unique sites:
H: 0.000 0.000 0.000 (multiplicity 1)
W: 0.500 0.500 0.500 (multiplicity 1)
O: 0.000 0.500 0.500 (multiplicity 2)
F: 0.500 0.500 0.000 (multiplicity 1)